The following is a DFT calculation (PBE-GGA) of crystalline TaSbOsI2 at its relaxed geometry.

The space group is P4/mmm (No. 123) and the conventional cell measures 5.351, 5.351 and 5.059 Å, with angles of 90.00, 90.00 and 90.00 degrees. The asymmetric unit holds Ta at (0.000, 0.000, 0.000), Sb at (0.500, 0.500, 0.000), Os at (0.500, 0.500, 0.500) and I at (0.000, 0.500, 0.500).

The value obtained for the raw total energy is -0.1656 Ha/atom. The value obtained for the formation energy from raw total energies is 1554 meV/atom. The value obtained for the distance to the lowest polymorph of the same formula is 0.000 eV/atom.

***

The following is a DFT calculation (PBE-GGA) of crystalline TaSbOsI2 at its relaxed geometry.

The space group is P4/mmm (No. 123) and the conventional cell measures 5.918, 5.918 and 5.021 Å, with angles of 90.00, 90.00 and 90.00 degrees. The asymmetric unit holds Ta at (0.000, 0.000, 0.000), Sb at (0.500, 0.500, 0.500), Os at (0.500, 0.500, 0.000) and I at (0.000, 0.500, 0.500).

The value obtained for the raw total energy is -0.1405 Ha/atom. The value obtained for the formation energy from raw total energies is 2237 meV/atom. The value obtained for the distance to the lowest polymorph of the same formula is 0.683 eV/atom.

***

The following is a DFT calculation (PBE-GGA) of crystalline SbTe2OsI at its relaxed geometry.

The space group is P4/mmm (No. 123) and the conventional cell measures 5.211, 5.211 and 5.415 Å, with angles of 90.00, 90.00 and 90.00 degrees. The asymmetric unit holds Sb at (0.000, 0.000, 0.000), Te at (0.000, 0.500, 0.500), Os at (0.500, 0.500, 0.500) and I at (0.500, 0.500, 0.000).

The value obtained for the raw total energy is -0.1451 Ha/atom. The value obtained for the formation energy from raw total energies is 689 meV/atom. The value obtained for the distance to the lowest polymorph of the same formula is 0.119 eV/atom.

***

The following is a DFT calculation (PBE-GGA) of crystalline Sb2TeOsI at its relaxed geometry.

The space group is P4/mmm (No. 123) and the conventional cell measures 5.130, 5.130 and 5.546 Å, with angles of 90.00, 90.00 and 90.00 degrees. The asymmetric unit holds Sb at (0.000, 0.500, 0.000), Te at (0.000, 0.000, 0.500), Os at (0.500, 0.500, 0.000) and I at (0.500, 0.500, 0.500).

The value obtained for the raw total energy is -0.1558 Ha/atom. The value obtained for the formation energy from raw total energies is 593 meV/atom. The value obtained for the distance to the lowest polymorph of the same formula is 0.043 eV/atom.

***

The following is a DFT calculation (PBE-GGA) of crystalline SbTeOsI2 at its relaxed geometry.

The space group is P4/mmm (No. 123) and the conventional cell measures 5.387, 5.387 and 5.177 Å, with angles of 90.00, 90.00 and 90.00 degrees. The asymmetric unit holds Sb at (0.000, 0.000, 0.000), Te at (0.500, 0.500, 0.000), Os at (0.000, 0.000, 0.500) and I at (0.000, 0.500, 0.500).

The value obtained for the raw total energy is -0.1333 Ha/atom. The value obtained for the formation energy from raw total energies is 692 meV/atom. The value obtained for the distance to the lowest polymorph of the same formula is 0.000 eV/atom.

***

The following is a DFT calculation (PBE-GGA) of crystalline SbTeOsI2 at its relaxed geometry.

The space group is P4/mmm (No. 123) and the conventional cell measures 5.386, 5.386 and 5.181 Å, with angles of 90.00, 90.00 and 90.00 degrees. The asymmetric unit holds Sb at (0.000, 0.000, 0.000), Te at (0.500, 0.500, 0.000), Os at (0.500, 0.500, 0.500) and I at (0.000, 0.500, 0.500).

The value obtained for the raw total energy is -0.1321 Ha/atom. The value obtained for the formation energy from raw total energies is 725 meV/atom. The value obtained for the distance to the lowest polymorph of the same formula is 0.033 eV/atom.

***

The following is a DFT calculation (PBE-GGA) of crystalline SbTe2OsI at its relaxed geometry.

The space group is P4/mmm (No. 123) and the conventional cell measures 5.325, 5.325 and 5.216 Å, with angles of 90.00, 90.00 and 90.00 degrees. The asymmetric unit holds Sb at (0.000, 0.000, 0.000), Te at (0.000, 0.500, 0.500), Os at (0.000, 0.000, 0.500) and I at (0.500, 0.500, 0.000).

The value obtained for the raw total energy is -0.1494 Ha/atom. The value obtained for the formation energy from raw total energies is 571 meV/atom. The value obtained for the distance to the lowest polymorph of the same formula is 0.000 eV/atom.

***

The following is a DFT calculation (PBE-GGA) of crystalline Sb2TeOsI at its relaxed geometry.

The space group is P4/mmm (No. 123) and the conventional cell measures 5.175, 5.175 and 5.467 Å, with angles of 90.00, 90.00 and 90.00 degrees. The asymmetric unit holds Sb at (0.000, 0.500, 0.000), Te at (0.000, 0.000, 0.500), Os at (0.000, 0.000, 0.000) and I at (0.500, 0.500, 0.500).

The value obtained for the raw total energy is -0.1574 Ha/atom. The value obtained for the formation energy from raw total energies is 550 meV/atom. The value obtained for the distance to the lowest polymorph of the same formula is 0.000 eV/atom.

***

The following is a DFT calculation (PBE-GGA) of crystalline TiSbOs2I at its relaxed geometry.

The space group is P4/mmm (No. 123) and the conventional cell measures 4.796, 4.796 and 5.596 Å, with angles of 90.00, 90.00 and 90.00 degrees. The asymmetric unit holds Ti at (0.000, 0.000, 0.000), Sb at (0.500, 0.500, 0.000), Os at (0.000, 0.500, 0.500) and I at (0.500, 0.500, 0.500).

The value obtained for the raw total energy is -0.1766 Ha/atom. The value obtained for the formation energy from raw total energies is 2400 meV/atom.

***

The following is a DFT calculation (PBE-GGA) of crystalline TiSbOsI2 at its relaxed geometry.

The space group is P4/mmm (No. 123) and the conventional cell measures 5.484, 5.484 and 5.028 Å, with angles of 90.00, 90.00 and 90.00 degrees. The asymmetric unit holds Ti at (0.000, 0.000, 0.000), Sb at (0.500, 0.500, 0.000), Os at (0.500, 0.500, 0.500) and I at (0.000, 0.500, 0.500).

The value obtained for the raw total energy is -0.1534 Ha/atom. The value obtained for the formation energy from raw total energies is 1095 meV/atom. The value obtained for the distance to the lowest polymorph of the same formula is 0.000 eV/atom.

***

The following is a DFT calculation (PBE-GGA) of crystalline TiSbOsI2 at its relaxed geometry.

The space group is P4/mmm (No. 123) and the conventional cell measures 5.280, 5.280 and 5.581 Å, with angles of 90.00, 90.00 and 90.00 degrees. The asymmetric unit holds Ti at (0.000, 0.000, 0.000), Sb at (0.000, 0.000, 0.500), Os at (0.500, 0.500, 0.500) and I at (0.000, 0.500, 0.000).

The value obtained for the raw total energy is -0.1475 Ha/atom. The value obtained for the formation energy from raw total energies is 1254 meV/atom. The value obtained for the distance to the lowest polymorph of the same formula is 0.160 eV/atom.

***

The following is a DFT calculation (PBE-GGA) of crystalline TlSbOsI2 at its relaxed geometry.

The space group is P4/mmm (No. 123) and the conventional cell measures 5.752, 5.752 and 5.008 Å, with angles of 90.00, 90.00 and 90.00 degrees. The asymmetric unit holds Tl at (0.000, 0.000, 0.000), Sb at (0.500, 0.500, 0.000), Os at (0.500, 0.500, 0.500) and I at (0.000, 0.500, 0.500).

The value obtained for the raw total energy is -0.1387 Ha/atom. The value obtained for the formation energy from raw total energies is 389 meV/atom. The value obtained for the distance to the lowest polymorph of the same formula is 0.000 eV/atom.